5
Lattice="4.990 0.000 0.000 0.000 4.990 0.000 0.000 0.000 5.337" Properties=species:S:1:pos:R:3 comment="GGA-PBEsol ScAsRuBr2, optimized geometry" magmom_total_mub_per_atom=0.7079 formation_energy_uncorrected_kj_per_mol_atoms=46.4 sg="P4/mmm, No. 123" dos_ef_per_ev_atom=1.06 pbc="T T T"
Sc 0.000 0.000 0.000
As 0.000 0.000 2.669
Ru 2.495 2.495 2.669
Br 0.000 2.495 0.000
Br 2.495 0.000 0.000